Crystalline TeCI at its relaxed geometry, computed with GGA-PBE.

Output
For the spin magnetization, the calculation gives 0.0 μB per cell. As for the raw formation energy: 0.60 eV/atom. The space group is P1, No. 1.

abc: 4.272 5.874 10.388
angles: 94.19 101.44 110.61
Sites, in units of the cell vectors:
Te (0.000, 0.000, 0.000)
Te (0.481, 0.138, 0.822)
C (0.218, 0.311, 0.136)
C (0.353, 0.491, 0.224)
I (0.572, 0.783, 0.368)
I (0.966, 0.297, 0.631)